Y2AsRu | GGA-PBE | relaxed

Cell: 3.5854 3.5854 8.3379 Å, 64.55 64.55 90.01°
Closest atoms and distances in Å follow each position.
Fractional coordinates of all 4 atoms:
Y1 0.9977 0.9977 0.0023  4 Ru 3.02, 4 As 3.04, 2 Y 3.28-3.34
Y2 0.5023 0.5023 0.4977  4 Ru 3.02, 4 As 3.04, 2 Y 3.28-3.34
Ru1 0.2500 0.2500 0.2500  8 Y 3.02, 2 As 3.31
As1 0.7500 0.7500 0.7500  8 Y 3.04, 2 Ru 3.31

## Properties
Magnetic moment, μB per cell: 0.00
E, eV/atom: -7.426
ΔH_f (0 K), eV per formula unit: -2.85